Entry 1:
{
  "formula": "Tb3Er2Ru4",
  "functional": "PBE",
  "state": "relaxed",
  "cell": [[-0.450, -4.840, 0.015], [3.879, -2.799, 0.861], [-1.857, 0.200, 9.013]],
  "species": ["Ru", "Ru", "Ru", "Ru", "Er", "Er", "Tb", "Tb", "Tb"],
  "fractional_positions": [[0.667, 0.667, 0.894], [0.000, 0.000, 0.643], [0.333, 0.333, 0.106], [0.000, 0.000, 0.357], [0.667, 0.667, 0.204], [0.333, 0.333, 0.796], [0.000, 0.000, 0.000], [0.333, 0.333, 0.409], [0.667, 0.667, 0.591]],
  "e_tot_ev_per_atom": -7.01,
  "volume_a3_per_cell": 188,
  "formation_enthalpy_0k_kj_per_mol_fu": -290.1,
  "m_tot_mub_per_cell": 0.000,
  "dos_at_fermi_per_ev_cell": 4.617
}

***

Entry 2:
{
  "formula": "Tb2Sm2Hg",
  "functional": "PBE",
  "state": "relaxed",
  "cell": [[-1.473, -4.486, -2.003], [2.835, 0.931, -4.171], [9.040, -3.807, 8.447]],
  "species": ["Sm", "Sm", "Sm", "Sm", "Tb", "Tb", "Tb", "Tb", "Hg", "Hg"],
  "fractional_positions": [[0.328, 0.328, 0.656], [0.422, 0.922, 0.844], [0.672, 0.672, 0.344], [0.078, 0.578, 0.156], [0.179, 0.179, 0.358], [0.821, 0.821, 0.642], [0.929, 0.429, 0.858], [0.571, 0.071, 0.142], [0.250, 0.750, 0.500], [0.500, 0.500, 0.000]],
  "e_tot_ev_per_atom": -3.84,
  "de_polymorph_ev_per_atom": 0.136,
  "volume_a3_per_cell": 327,
  "formation_enthalpy_0k_kj_per_mol_fu": -21.4,
  "m_tot_mub_per_cell": 0.001,
  "dos_at_fermi_per_ev_cell": 16.958
}

***

Entry 3:
{
  "formula": "AlZnSe",
  "functional": "PBE",
  "state": "relaxed",
  "cell": [[-0.547, -1.709, 4.147], [3.056, -2.874, 1.681], [2.723, 1.308, 3.360]],
  "species": ["Zn", "Se", "Al"],
  "fractional_positions": [[0.500, 0.500, 0.500], [0.000, 0.000, 0.000], [0.750, 0.750, 0.750]],
  "e_tot_ev_per_atom": -2.75,
  "de_polymorph_ev_per_atom": 0.336,
  "volume_a3_per_cell": 65,
  "m_tot_mub_per_cell": 0.000,
  "dos_at_fermi_per_ev_cell": 2.312
}

***

Entry 4:
{
  "formula": "MgPd",
  "functional": "PBE",
  "state": "relaxed",
  "cell": [[4.493, 0.000, 0.000], [-2.246, 3.891, 0.000], [0.000, 0.000, 5.195]],
  "species": ["Pd", "Pd", "Mg", "Mg"],
  "fractional_positions": [[0.333, 0.667, 0.750], [0.667, 0.333, 0.250], [0.333, 0.667, 0.250], [0.667, 0.333, 0.750]],
  "e_tot_ev_per_atom": -3.48,
  "volume_a3_per_cell": 91,
  "formation_enthalpy_0k_kj_per_mol_fu": -15.7,
  "m_tot_mub_per_cell": 0.000,
  "dos_at_fermi_per_ev_cell": 2.632
}

***

Entry 5:
{
  "formula": "Dy2YEr",
  "functional": "PBE",
  "state": "relaxed",
  "cell": [[-2.948, 3.734, -1.565], [-3.970, -3.048, 0.205], [-0.799, 1.361, 4.754]],
  "species": ["Y", "Dy", "Dy", "Er"],
  "fractional_positions": [[0.500, 0.000, 0.000], [0.000, 0.000, 0.500], [0.000, 0.500, 0.000], [0.500, 0.500, 0.500]],
  "e_tot_ev_per_atom": -5.03,
  "de_polymorph_ev_per_atom": 0.013,
  "volume_a3_per_cell": 126,
  "formation_enthalpy_0k_kj_per_mol_fu": 9.2,
  "m_tot_mub_per_cell": 0.000,
  "dos_at_fermi_per_ev_cell": 5.906
}

***

Entry 6:
{
  "formula": "LaDy3Tm8",
  "functional": "PBE",
  "state": "relaxed",
  "cell": [[-4.329, 1.176, -7.070], [3.873, -6.418, 3.729], [-6.200, 0.679, 5.594]],
  "species": ["Tm", "Tm", "Tm", "Tm", "Tm", "Tm", "Tm", "Tm", "La", "Dy", "Dy", "Dy"],
  "fractional_positions": [[0.168, 0.749, 0.915], [0.498, 0.833, 0.665], [0.163, 0.332, 0.831], [0.168, 0.833, 0.335], [0.834, 0.253, 0.085], [0.168, 0.254, 0.420], [0.501, 0.332, 0.169], [0.834, 0.748, 0.580], [0.835, 0.835, 0.000], [0.834, 0.334, 0.500], [0.499, 0.750, 0.251], [0.499, 0.247, 0.749]],
  "e_tot_ev_per_atom": -4.53,
  "volume_a3_per_cell": 376,
  "formation_enthalpy_0k_kj_per_mol_fu": 11.9,
  "m_tot_mub_per_cell": 0.002,
  "dos_at_fermi_per_ev_cell": 21.377
}

***

Entry 7:
{
  "formula": "YCr2Cd",
  "functional": "PBE",
  "state": "relaxed",
  "cell": [[5.211, 0.023, -0.004], [4.119, 3.191, -0.004], [2.061, 0.710, 4.903]],
  "species": ["Cr", "Cr", "Cd", "Y"],
  "fractional_positions": [[0.493, 0.493, 0.623], [0.007, 0.007, 0.877], [0.750, 0.750, 0.750], [0.250, 0.250, 0.250]],
  "e_tot_ev_per_atom": -6.12,
  "volume_a3_per_cell": 81,
  "formation_enthalpy_0k_kj_per_mol_fu": 207.4,
  "m_tot_mub_per_cell": 0.000,
  "dos_at_fermi_per_ev_cell": 4.661
}

***

Entry 8:
{
  "formula": "LiPm3Ge6",
  "functional": "PBE",
  "state": "relaxed",
  "cell": [[-3.454, -6.568, -1.971], [4.117, -2.675, 5.903], [-5.767, 3.088, 4.019]],
  "species": ["Li", "Li", "Pm", "Pm", "Pm", "Pm", "Pm", "Pm", "Ge", "Ge", "Ge", "Ge", "Ge", "Ge", "Ge", "Ge", "Ge", "Ge", "Ge", "Ge"],
  "fractional_positions": [[0.500, 0.500, 0.500], [0.000, 0.000, 0.000], [0.750, 0.313, 0.187], [0.687, 0.813, 0.250], [0.813, 0.250, 0.687], [0.313, 0.187, 0.750], [0.187, 0.750, 0.313], [0.250, 0.687, 0.813], [0.486, 0.131, 0.411], [0.911, 0.631, 0.986], [0.986, 0.911, 0.631], [0.369, 0.014, 0.089], [0.411, 0.486, 0.131], [0.869, 0.589, 0.514], [0.089, 0.369, 0.014], [0.589, 0.514, 0.869], [0.014, 0.089, 0.369], [0.131, 0.411, 0.486], [0.514, 0.869, 0.589], [0.631, 0.986, 0.911]],
  "e_tot_ev_per_atom": -5.03,
  "volume_a3_per_cell": 438,
  "formation_enthalpy_0k_kj_per_mol_fu": -621.6,
  "m_tot_mub_per_cell": 0.000,
  "dos_at_fermi_per_ev_cell": 4.322
}

***

Question: Which formula does entry 1 have?
Answer: Tb3Er2Ru4